Entry 1:
Entry from the Alexandria database: a relaxed structure of AlSe2O (GGA-PBE).

```
AlSe2O
1.0
0.000 3.115 3.115
3.115 0.000 3.115
3.115 3.115 0.000
Al Se O
1 2 1
Direct
0.000 0.000 0.000
0.250 0.250 0.250
0.750 0.750 0.750
0.500 0.500 0.500
```

space group = No. 225
E_form (uncorrected) = 0.26 eV per atom

Entry 2:
Entry from the Alexandria database: a relaxed structure of AlSeO2 (GGA-PBE).

```
AlSeO2
1.0
1.465 0.846 6.176
-1.465 0.846 6.176
0.000 -1.692 6.176
Al Se O
1 1 2
Direct
0.000 0.000 0.000
0.500 0.500 0.500
0.385 0.385 0.385
0.615 0.615 0.615
```

space group = No. 166
E_form (uncorrected) = -1.74 eV per atom

Entry 3:
Entry from the Alexandria database: a relaxed structure of AlSe2O8 (GGA-PBE).

```
AlSe2O8
1.0
5.315 0.000 0.000
-2.658 4.603 0.000
0.000 0.000 6.685
Al Se O
1 2 8
Direct
0.000 0.000 0.000
0.333 0.667 0.254
0.667 0.333 0.746
0.163 0.326 0.171
0.163 0.837 0.171
0.326 0.163 0.829
0.333 0.667 0.500
0.667 0.333 0.500
0.674 0.837 0.171
0.837 0.163 0.829
0.837 0.674 0.829
```

space group = No. 164
E_form (uncorrected) = -0.89 eV per atom

Entry 4:
Entry from the Alexandria database: a relaxed structure of AlSeO2 (GGA-PBE).

```
AlSeO2
1.0
-2.554 2.554 4.262
2.554 -2.554 4.262
2.554 2.554 -4.262
Al Se O
2 2 4
Direct
0.000 0.000 0.000
0.750 0.250 0.500
0.250 0.750 0.500
0.500 0.500 0.000
0.375 0.241 0.366
0.759 0.125 0.134
0.875 0.009 0.634
0.991 0.625 0.866
```

space group = No. 122
E_form (uncorrected) = -1.34 eV per atom

Entry 5:
Entry from the Alexandria database: a relaxed structure of AlSe2O (GGA-PBE).

```
AlSe2O
1.0
1.921 1.109 6.507
-1.921 1.109 6.507
0.000 -2.218 6.507
Al Se O
1 2 1
Direct
0.000 0.000 0.000
0.402 0.402 0.402
0.598 0.598 0.598
0.500 0.500 0.500
```

space group = No. 166
E_form (uncorrected) = -0.27 eV per atom

Entry 6:
Entry from the Alexandria database: a relaxed structure of AlSeO (GGA-PBE).

```
AlSeO
1.0
1.515 -5.849 0.000
1.515 5.849 0.000
0.000 0.000 5.261
Al Se O
2 2 2
Direct
0.191 0.809 0.500
0.809 0.191 0.000
0.486 0.514 0.058
0.514 0.486 0.558
0.253 0.747 0.823
0.747 0.253 0.323
```

space group = No. 36
E_form (uncorrected) = -1.65 eV per atom

Entry 7:
Entry from the Alexandria database: a relaxed structure of AlSeO (GGA-PBE).

```
AlSeO
1.0
3.012 0.000 0.000
-1.506 2.608 0.000
0.000 0.000 6.624
Al Se O
1 1 1
Direct
0.000 0.000 0.000
0.333 0.667 0.691
0.667 0.333 0.098
```

space group = No. 156
E_form (uncorrected) = -1.63 eV per atom

Entry 8:
Entry from the Alexandria database: a relaxed structure of AlSeO2 (GGA-PBE).

```
AlSeO2
1.0
0.000 2.844 2.844
2.844 0.000 2.844
2.844 2.844 0.000
Al Se O
1 1 2
Direct
0.000 0.000 0.000
0.500 0.500 0.500
0.250 0.250 0.250
0.750 0.750 0.750
```

space group = No. 225
E_form (uncorrected) = 0.05 eV per atom

Entry 9:
Entry from the Alexandria database: a relaxed structure of Al2Se3O12 (GGA-PBE).

```
Al2Se3O12
1.0
4.218 2.435 7.536
-4.218 2.435 7.536
0.000 -4.870 7.536
Al Se O
4 6 24
Direct
0.143 0.143 0.143
0.351 0.351 0.351
0.649 0.649 0.649
0.857 0.857 0.857
0.034 0.462 0.751
0.249 0.966 0.538
0.462 0.751 0.034
0.538 0.249 0.966
0.751 0.034 0.462
0.966 0.538 0.249
0.014 0.631 0.794
0.100 0.879 0.755
0.121 0.245 0.900
0.180 0.519 0.211
0.188 0.487 0.525
0.206 0.986 0.369
0.211 0.180 0.519
0.245 0.900 0.121
0.369 0.206 0.986
0.475 0.812 0.513
0.481 0.789 0.820
0.487 0.525 0.188
0.513 0.475 0.812
0.519 0.211 0.180
0.525 0.188 0.487
0.631 0.794 0.014
0.755 0.100 0.879
0.789 0.820 0.481
0.794 0.014 0.631
0.812 0.513 0.475
0.820 0.481 0.789
0.879 0.755 0.100
0.900 0.121 0.245
0.986 0.369 0.206
```

space group = No. 148
E_form (uncorrected) = -1.27 eV per atom

Entry 10:
Entry from the Alexandria database: a relaxed structure of AlSeO (GGA-PBE).

```
AlSeO
1.0
2.896 0.000 0.000
0.000 4.737 0.000
-0.057 0.000 9.595
Al Se O
2 2 2
Direct
0.248 0.000 0.415
0.752 0.500 0.585
0.244 0.132 0.180
0.756 0.632 0.820
0.251 0.309 0.529
0.749 0.809 0.471
```

space group = No. 4
E_form (uncorrected) = -1.76 eV per atom

How do the records compare in total moment? In the order shown, they have 0.0, 0.0, 1.0, 0.0, 0.0, 0.0, 0.0, 0.0, 0.0, 0.6 μB/cell.